Entry from Alexandria via LeMat-Bulk: a geometry-optimized Nd2Ho8Al structure (PBE).

Calculated formation energy = -32 meV/atom
Symmetry = C2/m, No. 12

Lattice parameters (Å, degrees): 5.4688 6.4415 10.0011 85.98 105.87 90.00
With the nearest neighbours (Å) after each atom.
Fractional coordinates of all 11 atoms:
Nd 0.7573 0.3320 0.5147  8 Ho 3.43-3.67, 2 Nd 3.49
Nd 0.2427 0.6680 0.4853  8 Ho 3.43-3.67, 2 Nd 3.49
Ho 0.4230 0.6046 0.8461  1 Al 3.04, 3 Ho 3.16-3.34
Ho 0.6561 0.8772 0.3123  1 Al 3.05, 2 Ho 3.38
Ho 0.8475 0.8150 0.6950  7 Ho 3.34-3.73, 4 Nd 3.57-3.67
Ho 0.9582 0.2549 0.9164  2 Al 3.26, 6 Ho 3.55-3.65
Ho 0.1525 0.1850 0.3050  7 Ho 3.34-3.73, 4 Nd 3.57-3.67
Ho 0.3439 0.1228 0.6877  1 Al 3.05, 2 Ho 3.38
Ho 0.5770 0.3954 0.1539  1 Al 3.04, 3 Ho 3.16-3.34
Ho 0.0418 0.7451 0.0836  2 Al 3.26, 6 Ho 3.55-3.65
Al 0.5000 0.0000 0.0000  8 Ho 3.04-3.26


Entry from Alexandria via LeMat-Bulk: a geometry-optimized HoPt5Pb structure (PBE).

Calculated formation energy = -505 meV/atom
Symmetry = Pnma, No. 62

Lattice parameters (Å, degrees): 5.5131 8.7990 11.0408 90.00 90.00 90.00
With the nearest neighbours (Å) after each atom.
Fractional coordinates of all 28 atoms:
Ho 0.2500 0.2598 0.9586  9 Pt 3.03-3.29
Ho 0.7500 0.2402 0.4586  9 Pt 3.03-3.29
Ho 0.2500 0.7598 0.5414  9 Pt 3.03-3.29
Ho 0.7500 0.7402 0.0414  9 Pt 3.03-3.29
Pt 0.2500 0.5992 0.0225  6 Pt 2.72-2.95, 1 Pb 3.01, 2 Ho 3.03
Pt 0.7500 0.9008 0.5225  6 Pt 2.72-2.95, 1 Pb 3.01, 2 Ho 3.03
Pt 0.2500 0.0992 0.4775  6 Pt 2.72-2.95, 1 Pb 3.01, 2 Ho 3.03
Pt 0.7500 0.4008 0.9775  6 Pt 2.72-2.95, 1 Pb 3.01, 2 Ho 3.03
Pt 0.7500 0.3227 0.7340  7 Pt 2.66-2.91, 2 Pb 2.94
Pt 0.2500 0.1773 0.2340  7 Pt 2.66-2.91, 2 Pb 2.94
Pt 0.7500 0.8227 0.7660  7 Pt 2.66-2.91, 2 Pb 2.94
Pt 0.2500 0.6773 0.2660  7 Pt 2.66-2.91, 2 Pb 2.94
Pt 0.2500 0.9238 0.0897  1 Pb 2.67, 5 Pt 2.74-2.95
Pt 0.7500 0.5762 0.5897  1 Pb 2.67, 5 Pt 2.74-2.95
Pt 0.2500 0.4238 0.4103  1 Pb 2.67, 5 Pt 2.74-2.95
Pt 0.7500 0.0762 0.9103  1 Pb 2.67, 5 Pt 2.74-2.95
Pt 0.9960 0.4288 0.1898  7 Pt 2.66-2.81, 2 Pb 2.88-2.97
Pt 0.0040 0.0712 0.6898  7 Pt 2.66-2.81, 2 Pb 2.88-2.97
Pt 0.5040 0.9288 0.3102  7 Pt 2.66-2.81, 2 Pb 2.88-2.97
Pt 0.4960 0.5712 0.8102  7 Pt 2.66-2.81, 2 Pb 2.88-2.97
Pt 0.0040 0.5712 0.8102  7 Pt 2.66-2.81, 2 Pb 2.88-2.97
Pt 0.9960 0.9288 0.3102  7 Pt 2.66-2.81, 2 Pb 2.88-2.97
Pt 0.4960 0.0712 0.6898  7 Pt 2.66-2.81, 2 Pb 2.88-2.97
Pt 0.5040 0.4288 0.1898  7 Pt 2.66-2.81, 2 Pb 2.88-2.97
Pb 0.2500 0.8664 0.8520  7 Pt 2.67-2.97
Pb 0.7500 0.6336 0.3520  7 Pt 2.67-2.97
Pb 0.2500 0.3664 0.6480  7 Pt 2.67-2.97
Pb 0.7500 0.1336 0.1480  7 Pt 2.67-2.97


Entry from Alexandria via LeMat-Bulk: a geometry-optimized La8CdAu2 structure (PBE).

Energy relative to the lowest polymorph listed for this composition = 0 meV/atom
Calculated formation energy = -270 meV/atom
Symmetry = C2/m, No. 12

Lattice parameters (Å, degrees): 5.7755 8.5296 8.5296 115.95 99.03 99.03
With the nearest neighbours (Å) after each atom.
Fractional coordinates of all 11 atoms:
La 0.9252 0.9216 0.6967  2 Au 3.16-3.30, 2 La 3.25-3.30
La 0.9252 0.6967 0.9216  2 Au 3.16-3.30, 2 La 3.25-3.30
La 0.3092 0.6034 0.6034  2 Au 3.25, 2 La 3.29-3.51, 1 Cd 3.43
La 0.5000 0.7592 0.2408  2 Au 3.06
La 0.5000 0.2408 0.7592  2 Au 3.06
La 0.6908 0.3966 0.3966  2 Au 3.25, 2 La 3.29-3.51, 1 Cd 3.43
La 0.0748 0.3033 0.0784  2 Au 3.16-3.30, 2 La 3.25-3.30
La 0.0748 0.0784 0.3033  2 Au 3.16-3.30, 2 La 3.25-3.30
Cd 0.5000 0.0000 0.0000  12 La 3.43-3.76
Au 0.0000 0.3104 0.6896  8 La 3.06-3.30
Au 0.0000 0.6896 0.3104  8 La 3.06-3.30


Entry from Alexandria via LeMat-Bulk: a geometry-optimized Cr7Se6 structure (PBE).

Symmetry = R-3m, No. 166

Lattice parameters (Å, degrees): 12.4150 12.4150 12.4150 23.09 23.09 23.09
With the nearest neighbours (Å) after each atom.
Fractional coordinates of all 13 atoms:
Cr 0.8703 0.4216 0.4216  2 Cr 2.23, 2 Se 2.43-2.45
Cr 0.4216 0.4216 0.8703  2 Cr 2.23, 2 Se 2.43-2.45
Cr 0.4216 0.8703 0.4216  2 Cr 2.23, 2 Se 2.43-2.45
Cr 0.1297 0.5784 0.5784  2 Cr 2.23, 2 Se 2.43-2.45
Cr 0.5784 0.1297 0.5784  2 Cr 2.23, 2 Se 2.43-2.45
Cr 0.5784 0.5784 0.1297  2 Cr 2.23, 2 Se 2.43-2.45
Cr 0.5000 0.5000 0.5000  6 Cr 2.88, 6 Se 2.96
Se 0.9233 0.9233 0.9233  6 Cr 2.58
Se 0.0767 0.0767 0.0767  6 Cr 2.58
Se 0.8137 0.8137 0.8137  3 Cr 2.45
Se 0.1863 0.1863 0.1863  3 Cr 2.45
Se 0.6280 0.6280 0.6280  3 Cr 2.43
Se 0.3720 0.3720 0.3720  3 Cr 2.43


Entry from Alexandria via LeMat-Bulk: a geometry-optimized Tb2Ce2In structure (PBE).

Calculated formation energy = 181 meV/atom
Symmetry = I4/mmm, No. 139

Lattice parameters (Å, degrees): 3.8208 3.8208 10.6344 100.35 100.35 90.00
With the nearest neighbours (Å) after each atom.
Fractional coordinates of all 5 atoms:
Tb 0.4078 0.4078 0.8156  4 In 3.30
Tb 0.5922 0.5922 0.1844  4 In 3.30
Ce 0.7500 0.2500 0.5000  4 Ce 2.70
Ce 0.2500 0.7500 0.5000  4 Ce 2.70
In 0.0000 0.0000 0.0000  8 Tb 3.30


Entry from Alexandria via LeMat-Bulk: a geometry-optimized LaPu2Ga structure (PBE).

Energy relative to the lowest polymorph listed for this composition = 0 meV/atom
Calculated formation energy = -136 meV/atom
Symmetry = P4/mmm, No. 123

Lattice parameters (Å, degrees): 4.9834 4.5616 4.5616 90.00 90.00 90.00
With the nearest neighbours (Å) after each atom.
Fractional coordinates of all 4 atoms:
La 0.5000 0.0000 0.0000  4 Ga 3.23, 8 Pu 3.38
Ga 0.5000 0.5000 0.5000  4 La 3.23, 8 Pu 3.38
Pu 0.0000 0.0000 0.5000  4 Pu 3.23, 4 La 3.38, 4 Ga 3.38
Pu 0.0000 0.5000 0.0000  4 Pu 3.23, 4 La 3.38, 4 Ga 3.38


Entry from Alexandria via LeMat-Bulk: a geometry-optimized K2CoCN structure (PBE).

Symmetry = P4/mmm, No. 123

Lattice parameters (Å, degrees): 5.7610 3.4636 5.7610 90.00 90.00 90.00
With the nearest neighbours (Å) after each atom.
Fractional coordinates of all 5 atoms:
K 0.0000 0.0000 0.5000  2 N 2.88
K 0.5000 0.0000 0.0000  2 N 2.88
Co 0.0000 0.5000 0.0000  2 N 1.73
C 0.5000 0.5000 0.5000  8 K 3.36, 2 C 3.46
N 0.0000 0.0000 0.0000  2 Co 1.73


Entry from Alexandria via LeMat-Bulk: a geometry-optimized TmZrPt2 structure (PBE).

Calculated formation energy = -1090 meV/atom
Symmetry = P4/mmm, No. 123

Lattice parameters (Å, degrees): 3.3930 3.3930 6.9142 90.00 90.00 90.00
With the nearest neighbours (Å) after each atom.
Fractional coordinates of all 4 atoms:
Tm 0.5000 0.5000 0.5000  8 Pt 3.05, 4 Tm 3.39
Zr 0.5000 0.5000 0.0000  8 Pt 2.87
Pt 0.0000 0.0000 0.7715  4 Zr 2.87, 4 Tm 3.05, 1 Pt 3.16
Pt 0.0000 0.0000 0.2285  4 Zr 2.87, 4 Tm 3.05, 1 Pt 3.16


Entry from Alexandria via LeMat-Bulk: a geometry-optimized Nd4Sm2Tl3O2 structure (PBE).

Symmetry = I4/mmm, No. 139

Lattice parameters (Å, degrees): 4.8581 4.8581 13.2431 100.57 100.57 90.00
With the nearest neighbours (Å) after each atom.
Fractional coordinates of all 11 atoms:
Nd 0.4141 0.9141 0.8283  2 O 2.48
Nd 0.9141 0.4141 0.8283  2 O 2.48
Nd 0.0859 0.5859 0.1717  2 O 2.48
Nd 0.5859 0.0859 0.1717  2 O 2.48
Sm 0.3024 0.3024 0.6048  1 O 2.37
Sm 0.6976 0.6976 0.3952  1 O 2.37
Tl 0.0000 0.0000 0.0000  8 Nd 3.27
Tl 0.1771 0.1771 0.3541  5 Sm 3.21-3.48, 4 Nd 3.37
Tl 0.8229 0.8229 0.6459  5 Sm 3.21-3.48, 4 Nd 3.37
O 0.3952 0.3952 0.7904  1 Sm 2.37, 4 Nd 2.48
O 0.6048 0.6048 0.2096  1 Sm 2.37, 4 Nd 2.48


Entry from Alexandria via LeMat-Bulk: a geometry-optimized Pm3Cu structure (PBE).

Energy relative to the lowest polymorph listed for this composition = 53 meV/atom
Calculated formation energy = -21 meV/atom
Symmetry = Imm2, No. 44

Lattice parameters (Å, degrees): 3.7389 5.4193 6.5267 114.53 106.64 90.00
With the nearest neighbours (Å) after each atom.
Fractional coordinates of all 4 atoms:
Cu 0.0000 0.9321 0.0000  6 Pm 3.00-3.21
Pm 0.2926 0.7028 0.5852  2 Cu 3.00
Pm 0.5000 0.4141 0.0000  4 Cu 3.21-3.37, 4 Pm 3.56-3.59
Pm 0.7074 0.1176 0.4148  2 Cu 3.00


Entry from Alexandria via LeMat-Bulk: a geometry-optimized MoHIN2 structure (PBE).

Energy relative to the lowest polymorph listed for this composition = 0 meV/atom
Symmetry = P4/mmm, No. 123

Lattice parameters (Å, degrees): 3.8501 3.8501 5.7796 90.00 90.00 90.00
With the nearest neighbours (Å) after each atom.
Fractional coordinates of all 5 atoms:
I 0.0000 0.0000 0.5000  4 H 2.72, 2 Mo 2.89
H 0.5000 0.5000 0.5000  4 I 2.72
Mo 0.0000 0.0000 0.0000  4 N 1.93
N 0.0000 0.5000 0.0000  2 Mo 1.93
N 0.5000 0.0000 0.0000  2 Mo 1.93


Entry from Alexandria via LeMat-Bulk: a geometry-optimized Pr3HoZn8 structure (PBE).

Energy relative to the lowest polymorph listed for this composition = 17 meV/atom
Calculated formation energy = -296 meV/atom
Symmetry = P3m1, No. 156

Lattice parameters (Å, degrees): 5.6874 5.6874 8.7455 90.00 90.00 120.00
With the nearest neighbours (Å) after each atom.
Fractional coordinates of all 12 atoms:
Pr 0.6667 0.3333 0.4482  12 Zn 3.11-3.31, 3 Ho 3.41, 1 Pr 3.48
Pr 0.6667 0.3333 0.0506  12 Zn 3.14-3.35, 4 Pr 3.41-3.48
Pr 0.0000 0.0000 0.9439  12 Zn 3.17-3.32, 1 Ho 3.40, 3 Pr 3.41
Ho 0.0000 0.0000 0.5547  12 Zn 3.10-3.32, 4 Pr 3.40-3.41
Zn 0.3333 0.6667 0.4969  6 Zn 2.69-2.71
Zn 0.3333 0.6667 0.0031  6 Zn 2.74-2.75
Zn 0.4959 0.9918 0.7472  6 Zn 2.71-2.91
Zn 0.4959 0.5041 0.7472  6 Zn 2.71-2.91
Zn 0.0082 0.5041 0.7472  6 Zn 2.71-2.91
Zn 0.1664 0.3328 0.2537  6 Zn 2.69-2.85
Zn 0.1664 0.8336 0.2537  6 Zn 2.69-2.85
Zn 0.6672 0.8336 0.2537  6 Zn 2.69-2.85


Entry from Alexandria via LeMat-Bulk: a geometry-optimized LiAc2ThSe4 structure (PBE).

Symmetry = P2/m, No. 10

Lattice parameters (Å, degrees): 4.3058 7.5039 7.3787 109.28 90.00 90.00
With the nearest neighbours (Å) after each atom.
Fractional coordinates of all 8 atoms:
Li 0.0000 0.0000 0.0000  6 Se 2.87-2.93
Ac 0.5000 0.0000 0.5000  6 Se 3.12
Ac 0.0000 0.5000 0.5000  6 Se 3.17-3.20
Th 0.5000 0.5000 0.0000  6 Se 2.96-2.98
Se 0.5000 0.2367 0.2235  2 Li 2.93, 1 Th 2.96, 3 Ac 3.12-3.17
Se 0.5000 0.7633 0.7765  2 Li 2.93, 1 Th 2.96, 3 Ac 3.12-3.17
Se 0.0000 0.2472 0.7751  1 Li 2.87, 2 Th 2.98, 3 Ac 3.12-3.20
Se 0.0000 0.7528 0.2249  1 Li 2.87, 2 Th 2.98, 3 Ac 3.12-3.20


Entry from Alexandria via LeMat-Bulk: a geometry-optimized BeReCl2 structure (PBE).

Energy relative to the lowest polymorph listed for this composition = 361 meV/atom
Symmetry = R-3m, No. 166

Lattice parameters (Å, degrees): 7.5440 7.5440 7.5440 22.96 22.96 22.96
With the nearest neighbours (Å) after each atom.
Fractional coordinates of all 4 atoms:
Re 0.0000 0.0000 0.0000  2 Cl 2.36
Be 0.5000 0.5000 0.5000  6 Cl 2.17
Cl 0.8929 0.8929 0.8929  3 Be 2.17, 1 Re 2.36
Cl 0.1071 0.1071 0.1071  3 Be 2.17, 1 Re 2.36


Entry from Alexandria via LeMat-Bulk: a geometry-optimized MgOsW2 structure (PBE).

Calculated formation energy = 300 meV/atom
Symmetry = I-4m2, No. 119

Lattice parameters (Å, degrees): 4.4682 4.4682 4.4682 120.27 120.27 89.53
With the nearest neighbours (Å) after each atom.
Fractional coordinates of all 4 atoms:
Mg 0.5000 0.5000 0.0000  4 Os 2.73, 4 W 2.73
Os 0.7500 0.2500 0.5000  4 W 2.73, 4 Mg 2.73
W 0.0000 0.0000 0.0000  4 W 2.73, 4 Os 2.73
W 0.2500 0.7500 0.5000  4 W 2.73, 4 Mg 2.73


Entry from Alexandria via LeMat-Bulk: a geometry-optimized Cd2InSi structure (PBE).

Energy relative to the lowest polymorph listed for this composition = 0 meV/atom
Symmetry = Imm2, No. 44

Lattice parameters (Å, degrees): 6.7385 6.7385 6.7385 153.67 136.43 51.62
With the nearest neighbours (Å) after each atom.
Fractional coordinates of all 4 atoms:
Cd 0.0449 0.0449 0.0000  2 Si 2.90, 2 Cd 3.07, 4 In 3.13
Cd 0.7509 0.2509 0.5000  4 Si 2.93, 2 Cd 3.07
In 0.4561 0.4561 0.0000  2 Si 2.95, 2 In 3.07, 4 Cd 3.13
Si 0.2481 0.7481 0.5000  6 Cd 2.90-2.93, 2 In 2.95, 2 Si 3.07


It is found that the energy values, taken in the order of the records, are -4.57, -6.00, -4.53, -6.75, -4.59, -9.29, -4.27, -7.37, -5.33, -4.61, -5.63, -2.72, -5.61, -4.71, -9.38, -2.25 eV per atom.